4
Lattice="-0.8664 -1.3584 -4.1874 -3.2054 -3.0480 -0.7517 -5.0449 2.5421 -2.1844" Properties=species:S:1:pos:R:3 comment="CaSn2Rh, optimized geometry, DFT PBE" space_group="R-3m (166)" rho_g_cm3=6.6 formation_enthalpy_0k_ev_per_atom=-0.53 magnetic_moment_mub_per_cell=0.000 dos_ef_per_ev_cell=3.2 vol_a3_per_cell=95 pbc="T T T"
Ca -4.5584 -0.9321 -3.5617
Rh 0.0000 0.0000 0.0000
Sn -1.9587 -0.8146 -1.7341
Sn -7.1581 -1.0496 -5.3894

---

10
Lattice="7.1770 0.0000 0.0000 0.0000 7.1770 0.0000 0.0000 0.0000 4.8671" Properties=species:S:1:pos:R:3 comment="Ca2Sn2Rh, optimized geometry, DFT PBE" space_group="P4/mbm (127)" rho_g_cm3=5.6 formation_enthalpy_0k_ev_per_atom=-0.58 magnetic_moment_mub_per_cell=0.000 dos_ef_per_ev_cell=4.4 vol_a3_per_cell=251 pbc="T T T"
Ca 1.2255 4.8140 2.4335
Ca 4.8140 5.9515 2.4335
Ca 5.9515 2.3630 2.4335
Ca 2.3630 1.2255 2.4335
Rh 0.0000 0.0000 0.0000
Rh 3.5885 3.5885 0.0000
Sn 2.5547 6.1432 0.0000
Sn 6.1432 4.6224 0.0000
Sn 4.6224 1.0339 0.0000
Sn 1.0339 2.5547 0.0000

---

11
Lattice="-0.6960 5.0538 -1.6681 -7.0783 -0.6518 0.9787 4.2519 0.6161 8.7274" Properties=species:S:1:pos:R:3 comment="Ca8Sn2Rh, optimized geometry, DFT PBE" space_group="C2/m (12)" rho_g_cm3=3.2 formation_enthalpy_0k_ev_per_atom=-0.43 magnetic_moment_mub_per_cell=0.000 dos_ef_per_ev_cell=7.2 vol_a3_per_cell=340 pbc="T T T"
Ca -0.9742 2.1601 6.9510
Ca -5.8667 2.8331 2.3961
Ca -3.1531 3.9188 4.5534
Ca 1.9321 5.4103 6.9504
Ca -0.3693 1.0993 3.4846
Ca 2.3444 2.1850 5.6418
Ca -2.5482 2.8580 1.0869
Ca -5.4545 -0.3922 1.0875
Sn 0.0434 4.3248 4.4495
Sn -3.5658 0.6934 3.5884
Rh -0.3480 2.5269 -0.8341

---

28
Lattice="4.4502 0.0000 0.0000 0.0000 7.2536 0.0000 0.0000 0.0000 18.6826" Properties=species:S:1:pos:R:3 comment="CaSn4Rh2, optimized geometry, DFT PBE" space_group="Pnma (62)" rho_g_cm3=7.9 formation_enthalpy_0k_ev_per_atom=-0.57 magnetic_moment_mub_per_cell=0.000 dos_ef_per_ev_cell=8.3 vol_a3_per_cell=603 pbc="T T T"
Ca 3.3377 7.1524 12.0056
Ca 1.1126 0.1012 6.6770
Ca 1.1126 3.5256 16.0183
Ca 3.3377 3.7280 2.6643
Rh 1.1126 5.3953 10.0241
Rh 3.3377 1.8583 8.6585
Rh 3.3377 1.7685 17.9998
Rh 1.1126 5.4851 0.6828
Rh 1.1126 7.0681 14.6644
Rh 3.3377 0.1855 4.0182
Rh 3.3377 3.4413 13.3595
Rh 1.1126 3.8123 5.3231
Sn 1.1126 1.9285 12.9525
Sn 3.3377 5.3251 5.7301
Sn 3.3377 5.5553 15.0714
Sn 1.1126 1.6983 3.6112
Sn 1.1126 5.0128 12.7538
Sn 3.3377 2.2408 5.9288
Sn 3.3377 1.3860 15.2701
Sn 1.1126 5.8676 3.4125
Sn 1.1126 0.9425 9.9556
Sn 3.3377 6.3112 8.7270
Sn 3.3377 4.5693 18.0683
Sn 1.1126 2.6843 0.6143
Sn 1.1126 3.5019 8.0529
Sn 3.3377 3.7517 10.6297
Sn 3.3377 7.1287 1.2884
Sn 1.1126 0.1249 17.3942

---

> What is the formula in the third record?

Ca8Sn2Rh